No. 1
A relaxed structure of VFe2MoH. Source: Alexandria, functional PBE.

Structure (POSCAR):
```
VFe2MoH
1.0
-2.9346 -2.0488 0.8548
1.1806 -0.2404 3.4768
-1.9502 3.1609 0.8808
Mo H Fe V
1 1 2 1
Direct
0.5000 0.5000 0.5000
0.0000 0.0000 0.0000
0.5000 0.0000 0.0000
0.0000 0.5000 0.0000
0.0000 0.0000 0.5000
```

Computed properties:
space-group type: P4/mmm, No. 123
spin magnetization: 1.4 μB per cell
total energy: -8.024 eV/atom
distance to the lowest polymorph of the same formula: 0 kJ/mol of formula units

---

No. 2
A relaxed structure of Zr2CoP. Source: Alexandria, functional PBE.

Structure (POSCAR):
```
Zr2CoP
1.0
-3.6569 5.7737 1.1277
0.6139 -0.9461 6.8343
0.9950 4.0087 3.9758
Zr P Co
4 2 2
Direct
0.6351 0.1250 0.2500
0.8750 0.8851 0.7500
0.1149 0.6250 0.2500
0.3750 0.3649 0.7500
0.2500 0.7500 0.5000
0.5000 0.5000 0.0000
0.0000 0.0000 0.0000
0.7500 0.2500 0.5000
```

Computed properties:
space-group type: I-42d, No. 122
spin magnetization: 0.0 μB per cell
total energy: -7.718 eV/atom
distance to the lowest polymorph of the same formula: 239 kJ/mol of formula units